1.
Density functional theory data (GGA-PBE) for a relaxed structure of NdDyHo2Sb4.

Density: 7.68 g/cm³
Formation energy (no corrections): -1.132 eV/atom
Space-group type: P2/m, No. 10

```
8
Lattice="-1.9600 2.3789 3.1617 5.1321 -2.5125 5.0720 5.9853 4.7497 0.1368" Properties=species:S:1:pos:R:3 pbc="T T T"
Nd 1.5860 -0.0668 4.1168
Dy 5.5587 1.1186 2.6043
Ho 5.9853 4.7497 0.1368
Ho 2.0126 3.5643 1.6492
Sb 8.3358 1.6295 3.9416
Sb 0.8215 2.9865 4.4288
Sb 4.4023 0.4943 5.4406
Sb 4.7550 4.1217 2.9299
```

***

2.
Density functional theory data (GGA-PBE) for a relaxed structure of MgHgTe2I.

Density: 5.69 g/cm³
E above lowest polymorph: 0 meV/atom
Formation energy (no corrections): 0.063 eV/atom
Space-group type: P4/mmm, No. 123

```
5
Lattice="-2.7602 -2.9626 3.8721 4.8564 -1.2778 2.4843 -0.4338 4.6150 3.2218" Properties=species:S:1:pos:R:3 pbc="T T T"
I -0.2169 2.3075 1.6109
Mg 0.0000 0.0000 0.0000
Te 2.4282 -0.6389 1.2421
Te -1.3801 -1.4813 1.9360
Hg 0.8312 0.1873 4.7891
```

***

3.
Density functional theory data (GGA-PBE) for a relaxed structure of Re2Ir.

Density: 21.15 g/cm³
E above lowest polymorph: 104 meV/atom
Energy of formation from the pure elements: -89 meV per atom
Space-group type: Cmcm, No. 63

```
6
Lattice="4.3790 1.1898 4.0925 -5.5061 -2.5789 -0.6098 1.6969 -3.4293 -0.8187" Properties=species:S:1:pos:R:3 pbc="T T T"
Re 0.7104 -1.2280 1.9408
Re -0.1406 -3.5905 0.7230
Re -2.6201 -2.4977 0.3565
Re 3.1900 -2.3208 2.3074
Ir 3.9846 0.0203 3.4983
Ir -3.4147 -4.8388 -0.8344
```